This record from Alexandria via LeMat-Bulk describes crystalline ZrScIr2 at its relaxed geometry. The functional is PBE.

Properties
The energy of formation from the pure elements is -380 meV/atom. The total moment is 0.000 μB per atom.

Unit cell a=7.1627 b=7.1627 c=5.8834 alpha=90.00 beta=90.00 gamma=90.00
Closest atoms and distances in Å follow each position.
Space group I-42d (No. 122)
Unique sites:
1 Zr 0.0000 0.0000 0.0000  4 Ir 2.63, 2 Sc 2.94
2 Sc 0.0000 0.0000 0.5000  4 Ir 2.64, 2 Zr 2.94
3 Ir 0.2488 0.7500 0.1250  2 Zr 2.63, 2 Sc 2.64, 2 Ir 2.94

This record from Alexandria via LeMat-Bulk describes crystalline Zr2ScIr at its relaxed geometry. The functional is PBE.

Properties
The energy of formation from the pure elements is -342 meV/atom. The total moment is 0.000 μB per atom.

Unit cell a=4.7765 b=4.7765 c=3.4404 alpha=90.00 beta=90.00 gamma=90.00
Closest atoms and distances in Å follow each position.
Space group P4/mmm (No. 123)
Unique sites:
1 Zr 0.0000 0.5000 0.0000  4 Ir 2.94, 4 Sc 2.94
2 Sc 0.0000 0.0000 0.5000  8 Zr 2.94
3 Ir 0.5000 0.5000 0.5000  8 Zr 2.94

This record from Alexandria via LeMat-Bulk describes crystalline ZrSc2Ir2 at its relaxed geometry. The functional is PBE.

Properties
The energy of formation from the pure elements is -599 meV/atom. The total moment is 0.000 μB per atom.

Unit cell a=7.8800 b=7.8800 c=2.9639 alpha=90.00 beta=90.00 gamma=90.00
Closest atoms and distances in Å follow each position.
Space group P4/mbm (No. 127)
Unique sites:
1 Zr 0.0000 0.0000 0.0000  2 Zr 2.96, 4 Sc 3.09, 8 Ir 3.28
2 Sc 0.1306 0.3694 0.0000  6 Ir 2.67-2.81, 3 Sc 2.91-2.96
3 Ir 0.1699 0.6699 0.5000  6 Sc 2.67-2.81, 2 Ir 2.96